Record 1
Compound: Pm5Nd2Sm12
Source: Alexandria via LeMat-Bulk
Functional: PBE
Structure: optimized geometry

Properties
**Total magnetic moment**: 0.0 μB/cell
**Formation energy**: 0.124 eV per atom
**Relative energy among the computed polymorphs**: 0 meV per atom
**Symmetry**: C2/m (12)

The structure in POSCAR format:
```
Pm5Nd2Sm12
1.0
7.966 -4.683 0.000
7.966 4.683 0.000
-0.418 0.000 8.826
Pm Nd Sm
5 2 12
Direct
0.000 0.000 0.000
0.232 0.232 0.069
0.290 0.290 0.468
0.710 0.710 0.532
0.768 0.768 0.931
0.329 0.671 0.500
0.671 0.329 0.500
0.032 0.672 0.259
0.072 0.072 0.377
0.174 0.563 0.823
0.328 0.968 0.741
0.437 0.826 0.177
0.442 0.442 0.157
0.558 0.558 0.843
0.563 0.174 0.823
0.672 0.032 0.259
0.826 0.437 0.177
0.928 0.928 0.623
0.968 0.328 0.741
```



Record 2
Compound: PmNd2Sm3
Source: Alexandria via LeMat-Bulk
Functional: PBE
Structure: optimized geometry

Properties
**Total magnetic moment**: 0.0 μB/cell
**Formation energy**: 0.188 eV per atom
**Relative energy among the computed polymorphs**: 177 meV per atom
**Symmetry**: Cmcm (63)

The structure in POSCAR format:
```
PmNd2Sm3
1.0
5.480 -5.475 0.000
5.480 5.475 0.000
0.000 0.000 6.813
Pm Nd Sm
2 4 6
Direct
0.097 0.903 0.750
0.903 0.097 0.250
0.099 0.598 0.250
0.402 0.901 0.250
0.598 0.099 0.750
0.901 0.402 0.750
0.250 0.250 0.000
0.250 0.250 0.500
0.404 0.596 0.750
0.596 0.404 0.250
0.750 0.750 0.000
0.750 0.750 0.500
```



Record 3
Compound: Pm2Nd8Sm3
Source: Alexandria via LeMat-Bulk
Functional: PBE
Structure: optimized geometry

Properties
**Total magnetic moment**: 0.0 μB/cell
**Formation energy**: 0.154 eV per atom
**Relative energy among the computed polymorphs**: 0 meV per atom
**Symmetry**: C2/m (12)

The structure in POSCAR format:
```
Pm2Nd8Sm3
1.0
6.668 -5.967 0.000
6.668 5.967 0.000
-2.528 0.000 5.734
Pm Nd Sm
2 8 3
Direct
0.213 0.213 0.345
0.787 0.787 0.655
0.053 0.053 0.780
0.073 0.585 0.329
0.348 0.348 0.945
0.415 0.927 0.671
0.585 0.073 0.329
0.652 0.652 0.055
0.927 0.415 0.671
0.947 0.947 0.220
0.255 0.745 0.000
0.500 0.500 0.500
0.745 0.255 0.000
```



Record 4
Compound: PmNd5Sm6
Source: Alexandria via LeMat-Bulk
Functional: PBE
Structure: optimized geometry

Properties
**Total magnetic moment**: 0.0 μB/cell
**Formation energy**: 0.012 eV per atom
**Symmetry**: C2/m (12)

The structure in POSCAR format:
```
PmNd5Sm6
1.0
3.167 -5.485 0.000
3.167 5.485 0.000
-2.120 0.000 11.908
Pm Nd Sm
1 5 6
Direct
0.000 0.000 0.000
0.167 0.833 0.500
0.333 0.667 0.000
0.500 0.500 0.500
0.667 0.333 0.000
0.833 0.167 0.500
0.084 0.417 0.250
0.249 0.249 0.750
0.417 0.084 0.250
0.583 0.916 0.750
0.751 0.751 0.250
0.916 0.583 0.750
```



Record 5
Compound: Pm2Nd4Sm5
Source: Alexandria via LeMat-Bulk
Functional: PBE
Structure: optimized geometry

Properties
**Total magnetic moment**: 0.0 μB/cell
**Formation energy**: 0.223 eV per atom
**Relative energy among the computed polymorphs**: 89 meV per atom
**Symmetry**: Immm (71)

The structure in POSCAR format:
```
Pm2Nd4Sm5
1.0
-1.778 4.697 11.721
1.778 -4.697 11.721
1.778 4.697 -11.721
Pm Nd Sm
2 4 5
Direct
0.230 0.230 0.000
0.770 0.770 0.000
0.096 0.096 0.000
0.202 0.500 0.702
0.798 0.500 0.298
0.904 0.904 0.000
0.155 0.353 0.802
0.449 0.647 0.802
0.500 0.000 0.500
0.551 0.353 0.198
0.845 0.647 0.198
```



Record 6
Compound: Pm7NdSm12
Source: Alexandria via LeMat-Bulk
Functional: PBE
Structure: optimized geometry

Properties
**Total magnetic moment**: 0.0 μB/cell
**Formation energy**: 0.605 eV per atom
**Relative energy among the computed polymorphs**: 344 meV per atom
**Symmetry**: Im-3m (229)

The structure in POSCAR format:
```
Pm7NdSm12
1.0
-5.762 5.762 5.762
5.762 -5.762 5.762
5.762 5.762 -5.762
Pm Nd Sm
7 1 12
Direct
0.000 0.000 0.500
0.000 0.500 0.000
0.000 0.500 0.500
0.500 0.000 0.000
0.500 0.000 0.500
0.500 0.500 0.000
0.500 0.500 0.500
0.000 0.000 0.000
0.000 0.251 0.749
0.000 0.749 0.251
0.251 0.000 0.749
0.251 0.251 0.501
0.251 0.501 0.251
0.251 0.749 0.000
0.499 0.749 0.749
0.501 0.251 0.251
0.749 0.000 0.251
0.749 0.251 0.000
0.749 0.499 0.749
0.749 0.749 0.499
```



Record 7
Compound: Pm12NdSm3
Source: Alexandria via LeMat-Bulk
Functional: PBE
Structure: optimized geometry

Properties
**Total magnetic moment**: 0.0 μB/cell
**Formation energy**: 0.013 eV per atom
**Symmetry**: P4/mmm (123)

The structure in POSCAR format:
```
Pm12NdSm3
1.0
5.156 0.000 0.000
0.000 5.156 0.000
0.000 0.000 20.619
Pm Nd Sm
12 1 3
Direct
0.000 0.000 0.000
0.000 0.000 0.249
0.000 0.000 0.500
0.000 0.000 0.751
0.000 0.500 0.125
0.000 0.500 0.374
0.000 0.500 0.626
0.000 0.500 0.875
0.500 0.000 0.125
0.500 0.000 0.374
0.500 0.000 0.626
0.500 0.000 0.875
0.500 0.500 0.500
0.500 0.500 0.000
0.500 0.500 0.250
0.500 0.500 0.750
```



Record 8
Compound: Pm5Nd2Sm2
Source: Alexandria via LeMat-Bulk
Functional: PBE
Structure: optimized geometry

Properties
**Total magnetic moment**: 0.0 μB/cell
**Formation energy**: 0.145 eV per atom
**Relative energy among the computed polymorphs**: 11 meV per atom
**Symmetry**: P1 (1)

The structure in POSCAR format:
```
Pm5Nd2Sm2
1.0
6.841 0.000 0.000
3.392 8.416 0.000
3.377 2.934 10.877
Pm Nd Sm
10 4 4
Direct
0.000 0.000 0.000
0.013 0.635 0.619
0.074 0.388 0.421
0.208 0.800 0.782
0.427 0.065 0.069
0.458 0.245 0.234
0.526 0.459 0.443
0.581 0.605 0.626
0.650 0.846 0.861
0.911 0.220 0.238
0.025 0.559 0.065
0.281 0.287 0.785
0.586 0.038 0.544
0.809 0.810 0.311
0.230 0.927 0.429
0.400 0.664 0.161
0.682 0.425 0.931
0.851 0.188 0.701
```



Record 9
Compound: Pm3Nd8Sm2
Source: Alexandria via LeMat-Bulk
Functional: PBE
Structure: optimized geometry

Properties
**Total magnetic moment**: 0.0 μB/cell
**Formation energy**: 0.208 eV per atom
**Relative energy among the computed polymorphs**: 56 meV per atom
**Symmetry**: C2/m (12)

The structure in POSCAR format:
```
Pm3Nd8Sm2
1.0
10.376 -3.875 0.000
10.376 3.875 0.000
-0.005 0.000 5.811
Pm Nd Sm
3 8 2
Direct
0.000 0.000 0.000
0.287 0.713 0.500
0.713 0.287 0.500
0.134 0.134 0.499
0.186 0.602 0.000
0.328 0.328 0.499
0.398 0.814 0.000
0.602 0.186 0.000
0.672 0.672 0.501
0.814 0.398 0.000
0.866 0.866 0.501
0.241 0.241 0.998
0.759 0.759 0.002
```



Record 10
Compound: Pm8Nd6Sm
Source: Alexandria via LeMat-Bulk
Functional: PBE
Structure: optimized geometry

Properties
**Total magnetic moment**: 0.0 μB/cell
**Formation energy**: 0.166 eV per atom
**Relative energy among the computed polymorphs**: 22 meV per atom
**Symmetry**: P-3 (147)

The structure in POSCAR format:
```
Pm8Nd6Sm
1.0
9.579 0.000 0.000
-4.790 8.296 0.000
0.000 0.000 6.694
Pm Nd Sm
8 6 1
Direct
0.029 0.282 0.163
0.253 0.971 0.163
0.282 0.253 0.837
0.333 0.667 0.111
0.667 0.333 0.889
0.718 0.747 0.163
0.747 0.029 0.837
0.971 0.718 0.837
0.085 0.433 0.661
0.348 0.915 0.661
0.433 0.348 0.339
0.567 0.652 0.661
0.652 0.085 0.339
0.915 0.567 0.339
0.000 0.000 0.500
```



Record 11
Compound: Pm4Nd2Sm5
Source: Alexandria via LeMat-Bulk
Functional: PBE
Structure: optimized geometry

Properties
**Total magnetic moment**: 0.0 μB/cell
**Formation energy**: 0.212 eV per atom
**Relative energy among the computed polymorphs**: 78 meV per atom
**Symmetry**: Immm (71)

The structure in POSCAR format:
```
Pm4Nd2Sm5
1.0
-1.778 4.669 11.753
1.778 -4.669 11.753
1.778 4.669 -11.753
Pm Nd Sm
4 2 5
Direct
0.096 0.096 0.000
0.199 0.500 0.699
0.801 0.500 0.301
0.904 0.904 0.000
0.231 0.231 0.000
0.769 0.769 0.000
0.158 0.355 0.803
0.448 0.645 0.803
0.500 0.000 0.500
0.552 0.355 0.197
0.842 0.645 0.197
```



Record 12
Compound: PmNd7Sm2
Source: Alexandria via LeMat-Bulk
Functional: PBE
Structure: optimized geometry

Properties
**Total magnetic moment**: 0.0 μB/cell
**Formation energy**: 0.161 eV per atom
**Relative energy among the computed polymorphs**: 0 meV per atom
**Symmetry**: P2/m (10)

The structure in POSCAR format:
```
PmNd7Sm2
1.0
6.771 0.000 0.000
0.000 3.466 0.000
-2.285 0.000 14.924
Pm Nd Sm
1 7 2
Direct
0.000 0.000 0.000
0.182 0.500 0.799
0.309 0.500 0.201
0.377 0.000 0.607
0.500 0.500 0.000
0.623 0.000 0.393
0.691 0.500 0.799
0.818 0.500 0.201
0.134 0.500 0.410
0.866 0.500 0.590
```